A plane-wave DFT calculation with PBE-GGA was carried out for crystalline Er3NbP2Rh9 at its relaxed geometry.

Unit cell a=5.8814 b=5.8814 c=9.2587 alpha=90.00 beta=90.00 gamma=120.00
Closest atoms and distances in Å follow each position.
Element x y z (fractional)
Rh 0.5000 0.0000 0.0000  2 P 2.22
Rh 0.0000 0.5000 0.0000  2 P 2.22
Rh 0.3206 0.1603 0.7037  1 P 2.20
Rh 0.1603 0.8397 0.2963  1 P 2.20
Rh 0.6794 0.8397 0.2963  1 P 2.20
Rh 0.8397 0.6794 0.7037  1 P 2.20
Rh 0.5000 0.5000 0.0000  2 P 2.22
Rh 0.8397 0.1603 0.7037  1 P 2.20
Rh 0.1603 0.3206 0.2963  1 P 2.20
Er 0.0000 0.0000 0.0000  12 Rh 2.94-3.19
Er 0.6667 0.3333 0.3849  6 Rh 3.05
Er 0.3333 0.6667 0.6151  6 Rh 3.05
P 0.3333 0.6667 0.1549  6 Rh 2.20-2.22
P 0.6667 0.3333 0.8451  6 Rh 2.20-2.22
Nb 0.0000 0.0000 0.5000  6 Rh 2.49

Output
Magnetization: 0.000 μB/f.u.
Crystal system: trigonal
ΔH_f (0 K): -0.5730 eV per atom
Volume: 277.36 Å³/cell

A plane-wave DFT calculation with PBE-GGA was carried out for crystalline ErPaNb at its relaxed geometry.

Unit cell a=3.4359 b=3.4359 c=13.4259 alpha=97.35 beta=97.35 gamma=90.00
Closest atoms and distances in Å follow each position.
Element x y z (fractional)
Er 0.4331 0.4331 0.8662  4 Pa 3.32, 5 Er 3.44-3.53
Er 0.5669 0.5669 0.1338  4 Pa 3.32, 5 Er 3.44-3.53
Pa 0.8474 0.8474 0.6949  4 Nb 3.00, 4 Er 3.32
Pa 0.1526 0.1526 0.3051  4 Nb 3.00, 4 Er 3.32
Nb 0.2808 0.2808 0.5616  4 Nb 2.92, 4 Pa 3.00
Nb 0.7192 0.7192 0.4384  4 Nb 2.92, 4 Pa 3.00

Output
ΔE to the lowest computed polymorph: 12 meV/atom
Magnetization: 0.000 μB/f.u.
Crystal system: tetragonal
ΔH_f (0 K): 0.2104 eV per atom
Volume: 155.88 Å³/cell